Compound: MgGa3Ag4
Source: Alexandria
Functional: PBE
Structure: optimized geometry

a b c (Å): 8.219 8.219 4.320
angles (deg): 103.61 103.61 30.33
Sites, in units of the cell vectors:
Mg 0.000 0.000 0.000
Ga 0.250 0.250 0.247
Ga 0.500 0.500 0.500
Ga 0.750 0.750 0.753
Ag 0.126 0.126 0.620
Ag 0.374 0.374 0.878
Ag 0.626 0.626 0.122
Ag 0.874 0.874 0.380

Values from the calculation:
- Space group: C2/m

Compound: Mg3GaAg
Source: Alexandria
Functional: PBE
Structure: optimized geometry

a b c (Å): 4.419 6.163 7.865
angles (deg): 90.00 90.00 90.00
Sites, in units of the cell vectors:
Mg 0.250 0.000 0.196
Mg 0.250 0.250 0.555
Mg 0.250 0.500 0.196
Mg 0.750 0.000 0.804
Mg 0.750 0.500 0.804
Mg 0.750 0.750 0.445
Ga 0.250 0.750 0.672
Ga 0.750 0.250 0.328
Ag 0.250 0.250 0.903
Ag 0.750 0.750 0.097

Values from the calculation:
- ΔE to the lowest computed polymorph: 85 meV per atom
- Space group: Pmmn

Compound: Mg3Ga3Ag2
Source: Alexandria
Functional: PBE
Structure: optimized geometry

a b c (Å): 5.465 5.465 14.191
angles (deg): 90.00 90.00 132.70
Sites, in units of the cell vectors:
Mg 0.075 0.925 0.612
Mg 0.075 0.925 0.888
Mg 0.329 0.671 0.750
Mg 0.671 0.329 0.250
Mg 0.925 0.075 0.112
Mg 0.925 0.075 0.388
Ga 0.391 0.609 0.546
Ga 0.391 0.609 0.954
Ga 0.395 0.605 0.250
Ga 0.605 0.395 0.750
Ga 0.609 0.391 0.046
Ga 0.609 0.391 0.454
Ag 0.219 0.781 0.109
Ag 0.219 0.781 0.391
Ag 0.781 0.219 0.609
Ag 0.781 0.219 0.891

Values from the calculation:
- ΔE to the lowest computed polymorph: 0 meV per atom
- Space group: Cmcm

Compound: Mg2Ga3Ag4
Source: Alexandria
Functional: PBE
Structure: optimized geometry

a b c (Å): 7.688 7.688 7.688
angles (deg): 156.60 107.48 77.40
Sites, in units of the cell vectors:
Mg 0.197 0.197 0.000
Mg 0.803 0.803 0.000
Ga 0.000 0.500 0.500
Ga 0.397 0.897 0.500
Ga 0.603 0.103 0.500
Ag 0.115 0.361 0.754
Ag 0.393 0.639 0.754
Ag 0.607 0.361 0.246
Ag 0.885 0.639 0.246

Values from the calculation:
- Space group: Immm

Compound: Mg3Ga9Ag2
Source: Alexandria
Functional: PBE
Structure: optimized geometry

a b c (Å): 8.106 8.106 8.106
angles (deg): 148.31 105.53 83.18
Sites, in units of the cell vectors:
Mg 0.000 0.000 0.000
Mg 0.287 0.287 0.000
Mg 0.713 0.713 0.000
Ga 0.016 0.646 0.371
Ga 0.134 0.853 0.281
Ga 0.275 0.646 0.629
Ga 0.428 0.147 0.281
Ga 0.500 0.000 0.500
Ga 0.572 0.853 0.719
Ga 0.725 0.354 0.371
Ga 0.866 0.147 0.719
Ga 0.984 0.354 0.629
Ag 0.341 0.500 0.841
Ag 0.659 0.500 0.159

Values from the calculation:
- Space group: Immm

Compound: Mg2Ga8Ag
Source: Alexandria
Functional: PBE
Structure: optimized geometry

a b c (Å): 4.298 4.298 11.383
angles (deg): 90.00 90.00 90.00
Sites, in units of the cell vectors:
Mg 0.000 0.000 0.175
Mg 0.000 0.000 0.825
Ga 0.000 0.500 0.000
Ga 0.000 0.500 0.354
Ga 0.000 0.500 0.646
Ga 0.500 0.000 0.000
Ga 0.500 0.000 0.354
Ga 0.500 0.000 0.646
Ga 0.500 0.500 0.185
Ga 0.500 0.500 0.815
Ag 0.000 0.000 0.500

Values from the calculation:
- ΔE to the lowest computed polymorph: 0 meV per atom
- Space group: P4/mmm

Compound: Mg2Ga4Ag5
Source: Alexandria
Functional: PBE
Structure: optimized geometry

a b c (Å): 6.064 6.064 8.394
angles (deg): 121.41 121.41 56.97
Sites, in units of the cell vectors:
Mg 0.240 0.240 0.310
Mg 0.760 0.760 0.690
Ga 0.222 0.222 0.642
Ga 0.241 0.241 0.981
Ga 0.759 0.759 0.019
Ga 0.778 0.778 0.358
Ag 0.250 0.741 0.681
Ag 0.259 0.750 0.319
Ag 0.500 0.500 0.000
Ag 0.741 0.250 0.681
Ag 0.750 0.259 0.319

Values from the calculation:
- ΔE to the lowest computed polymorph: 37 meV per atom
- Space group: C2/m

Compound: Mg2Ga3Ag5
Source: Alexandria
Functional: PBE
Structure: optimized geometry

a b c (Å): 8.904 8.904 8.904
angles (deg): 105.36 86.08 143.45
Sites, in units of the cell vectors:
Mg 0.217 0.136 0.353
Mg 0.283 0.636 0.919
Mg 0.717 0.364 0.081
Mg 0.783 0.864 0.647
Ga 0.145 0.865 0.010
Ga 0.250 0.750 0.500
Ga 0.355 0.365 0.720
Ga 0.645 0.635 0.280
Ga 0.750 0.250 0.500
Ga 0.855 0.135 0.990
Ag 0.162 0.404 0.566
Ag 0.250 0.250 0.000
Ag 0.250 0.508 0.258
Ag 0.250 0.992 0.742
Ag 0.338 0.904 0.242
Ag 0.662 0.096 0.758
Ag 0.750 0.008 0.258
Ag 0.750 0.492 0.742
Ag 0.750 0.750 0.000
Ag 0.838 0.596 0.434

Values from the calculation:
- ΔE to the lowest computed polymorph: 97 meV per atom
- Space group: Ibam

The following VASP energy values (in eV per atom) correspond, in order, to the records above: -2.811 -2.176 -2.578 -2.651 -2.779 -2.796 -2.724 -2.654.
The following formation enthalpy at 0 K values (in eV/f.u.) correspond, in order, to the records above: -0.41 -0.22 -1.05 -0.19 -1.18 -0.50 -0.42 -0.02.